No. 1
First-principles (PBE) data for a geometry-optimized TlSbCl2 structure, as listed in the Alexandria database.

abc: 3.451 3.451 9.941
angles: 90.00 90.00 90.00
Sites, in units of the cell vectors:
Tl 0.000 0.000 0.000
Sb 0.500 0.500 0.681
Cl 0.000 0.000 0.502
Cl 0.500 0.500 0.163

Computed properties:
Symmetry: P4mm
Energy above the lowest structure with this stoichiometry (eV per atom): 0.292

***

No. 2
First-principles (PBE) data for a geometry-optimized TlSbCl2 structure, as listed in the Alexandria database.

abc: 5.347 5.347 5.347
angles: 60.00 60.00 60.00
Sites, in units of the cell vectors:
Tl 0.000 0.000 0.000
Sb 0.500 0.500 0.500
Cl 0.250 0.250 0.250
Cl 0.750 0.750 0.750

Computed properties:
Symmetry: Fm-3m
Energy above the lowest structure with this stoichiometry (eV per atom): 0.387

***

No. 3
First-principles (PBE) data for a geometry-optimized Tl3SbCl7 structure, as listed in the Alexandria database.

abc: 7.385 7.385 8.361
angles: 112.64 112.64 83.70
Sites, in units of the cell vectors:
Tl 0.000 0.000 0.000
Tl 0.274 0.729 0.529
Tl 0.729 0.274 0.529
Sb 0.495 0.495 0.014
Cl 0.163 0.530 0.774
Cl 0.334 0.334 0.147
Cl 0.454 0.830 0.241
Cl 0.530 0.163 0.774
Cl 0.662 0.662 0.884
Cl 0.830 0.454 0.241
Cl 0.975 0.975 0.640

Computed properties:
Symmetry: Cm

***

No. 4
First-principles (PBE) data for a geometry-optimized TlSbCl2 structure, as listed in the Alexandria database.

abc: 7.258 7.258 7.258
angles: 145.75 145.75 49.22
Sites, in units of the cell vectors:
Tl 0.000 0.000 0.000
Sb 0.750 0.250 0.500
Cl 0.250 0.750 0.500
Cl 0.500 0.500 0.000

Computed properties:
Symmetry: I-4m2
Energy above the lowest structure with this stoichiometry (eV per atom): 0.285

***

No. 5
First-principles (PBE) data for a geometry-optimized TlSbCl4 structure, as listed in the Alexandria database.

abc: 6.077 6.077 6.077
angles: 60.00 60.00 60.00
Sites, in units of the cell vectors:
Tl 0.000 0.000 0.000
Sb 0.250 0.250 0.250
Cl 0.126 0.625 0.625
Cl 0.625 0.126 0.625
Cl 0.625 0.625 0.126
Cl 0.625 0.625 0.625

Computed properties:
Symmetry: F-43m
Energy above the lowest structure with this stoichiometry (eV per atom): 1.198

***

No. 6
First-principles (PBE) data for a geometry-optimized TlSbCl2 structure, as listed in the Alexandria database.

abc: 10.024 10.024 10.024
angles: 21.56 21.56 21.56
Sites, in units of the cell vectors:
Tl 0.000 0.000 0.000
Sb 0.500 0.500 0.500
Cl 0.410 0.410 0.410
Cl 0.590 0.590 0.590

Computed properties:
Symmetry: R-3m
Energy above the lowest structure with this stoichiometry (eV per atom): 0.000

***

No. 7
First-principles (PBE) data for a geometry-optimized TlSbCl2 structure, as listed in the Alexandria database.

abc: 3.425 3.425 8.877
angles: 90.00 90.00 90.00
Sites, in units of the cell vectors:
Tl 0.000 0.000 0.000
Sb 0.000 0.000 0.500
Cl 0.500 0.500 0.241
Cl 0.500 0.500 0.759

Computed properties:
Symmetry: P4/mmm
Energy above the lowest structure with this stoichiometry (eV per atom): 0.195

***

No. 8
First-principles (PBE) data for a geometry-optimized TlSbCl2 structure, as listed in the Alexandria database.

abc: 3.411 5.801 5.747
angles: 90.00 90.00 90.00
Sites, in units of the cell vectors:
Tl 0.000 0.000 0.000
Sb 0.500 0.500 0.499
Cl 0.500 0.000 0.500
Cl 0.500 0.500 0.998

Computed properties:
Symmetry: Pmm2
Energy above the lowest structure with this stoichiometry (eV per atom): 0.052

***

What total DFT energy (no corrections) values result from the calculations? In sequence: -2.81 -2.72 -3.08 -2.82 -2.05 -3.10 -2.91 -3.05 eV/atom.
What raw formation energy values result from the calculations? In sequence: -0.27 -0.17 -0.88 -0.27 0.26 -0.56 -0.36 -0.51 eV/atom.